Entry 1:
## LaTb2C (PBE-GGA)

Data for an optimized crystal structure of LaTb2C. Values from VASP.

Results
* energy: -6.016 eV/atom
* formation energy: -163 meV/atom
* SG: P-3m1
* excess energy over the best structure of this formula in the dataset: 0.0 kJ per mole of atoms

Quantum ESPRESSO input file:
```
&SYSTEM
  ibrav = 0, nat = 4, ntyp = 3
/
ATOMIC_SPECIES
La 138.91 La.upf
Tb 158.93 Tb.upf
C 12.01 C.upf
ATOMIC_POSITIONS crystal
La 0.000 0.000 0.000
Tb 0.333 0.667 0.645
Tb 0.667 0.333 0.355
C 0.000 0.000 0.500
CELL_PARAMETERS angstrom
1.809 -3.134 0.000
1.809 3.134 0.000
0.000 0.000 9.416
```

Entry 2:
## LaTbC (PBE-GGA)

Data for an optimized crystal structure of LaTbC. Values from VASP.

Results
* energy: -6.338 eV/atom
* formation energy: -78 meV/atom
* SG: Pbcm
* excess energy over the best structure of this formula in the dataset: 8.8 kJ per mole of atoms

Quantum ESPRESSO input file:
```
&SYSTEM
  ibrav = 0, nat = 12, ntyp = 3
/
ATOMIC_SPECIES
Tb 158.93 Tb.upf
C 12.01 C.upf
La 138.91 La.upf
ATOMIC_POSITIONS crystal
Tb 0.750 0.092 0.561
Tb 0.250 0.092 0.939
Tb 0.250 0.908 0.439
Tb 0.750 0.908 0.061
C 0.500 0.130 0.250
C 0.000 0.130 0.250
C 0.000 0.870 0.750
C 0.500 0.870 0.750
La 0.250 0.342 0.401
La 0.750 0.342 0.099
La 0.750 0.658 0.599
La 0.250 0.658 0.901
CELL_PARAMETERS angstrom
-4.539 -3.529 2.751
-1.495 -3.302 -6.703
4.246 -4.478 1.259
```

Entry 3:
## La2Tb4C (PBE-GGA)

Data for an optimized crystal structure of La2Tb4C. Values from VASP.

Results
* energy: -5.271 eV/atom
* formation energy: 100 meV/atom
* SG: I4/mmm

Quantum ESPRESSO input file:
```
&SYSTEM
  ibrav = 0, nat = 7, ntyp = 3
/
ATOMIC_SPECIES
Tb 158.93 Tb.upf
C 12.01 C.upf
La 138.91 La.upf
ATOMIC_POSITIONS crystal
Tb 0.500 0.000 0.000
Tb 0.000 0.500 0.000
Tb 0.132 0.132 0.736
Tb 0.868 0.868 0.264
C 0.000 0.000 0.000
La 0.323 0.323 0.355
La 0.677 0.677 0.645
CELL_PARAMETERS angstrom
4.926 0.000 0.000
0.000 4.926 0.000
2.463 2.463 9.039
```